(1)
A PBEsol-optimized structure of Sr2CoPt, computed with meta-GGA SCAN. Values from VASP.

Structure (Quantum ESPRESSO input):
```
&SYSTEM
  ibrav = 0, nat = 4, ntyp = 3
/
ATOMIC_SPECIES
Sr 87.62 Sr.upf
Co 58.93 Co.upf
Pt 195.08 Pt.upf
CELL_PARAMETERS angstrom
3.6357 0.0000 0.0000
0.0000 3.6357 0.0000
0.0000 0.0000 7.1495
ATOMIC_POSITIONS angstrom
Sr 0.0000 0.0000 1.7408
Sr 0.0000 0.0000 5.4087
Co 1.8179 1.8179 3.5748
Pt 1.8179 1.8179 0.0000
```

Values from the calculation:
- Calculated volume: 23.63 Å³ per atom
- Formation enthalpy at 0 K: -0.16 eV/atom



(2)
A PBEsol-optimized structure of KLi2Mg, computed with meta-GGA SCAN. Values from VASP.

Structure (Quantum ESPRESSO input):
```
&SYSTEM
  ibrav = 0, nat = 4, ntyp = 3
/
ATOMIC_SPECIES
K 39.10 K.upf
Li 6.94 Li.upf
Mg 24.30 Mg.upf
CELL_PARAMETERS angstrom
5.0985 -1.7063 0.0000
5.0985 1.7063 0.0000
-0.8458 0.0000 7.0150
ATOMIC_POSITIONS angstrom
K 0.0000 0.0000 0.0000
Li 1.8325 0.0000 4.6646
Li 7.5188 0.0000 2.3504
Mg 4.6756 0.0000 3.5075
```

Values from the calculation:
- Calculated volume: 30.51 Å³ per atom
- Formation enthalpy at 0 K: 0.13 eV/atom



(3)
A PBEsol-optimized structure of K2CdCu, computed with meta-GGA SCAN. Values from VASP.

Structure (Quantum ESPRESSO input):
```
&SYSTEM
  ibrav = 0, nat = 4, ntyp = 3
/
ATOMIC_SPECIES
K 39.10 K.upf
Cd 112.41 Cd.upf
Cu 63.55 Cu.upf
CELL_PARAMETERS angstrom
2.0632 1.1912 9.8453
-2.0632 1.1912 9.8453
0.0000 -2.3824 9.8453
ATOMIC_POSITIONS angstrom
K 0.0000 0.0000 7.0598
K 0.0000 0.0000 22.4760
Cd 0.0000 0.0000 0.0000
Cu 0.0000 0.0000 14.7679
```

Values from the calculation:
- Calculated volume: 36.30 Å³ per atom
- Formation enthalpy at 0 K: 0.39 eV/atom



(4)
A PBEsol-optimized structure of LiNi2Ru, computed with meta-GGA SCAN. Values from VASP.

Structure (Quantum ESPRESSO input):
```
&SYSTEM
  ibrav = 0, nat = 4, ntyp = 3
/
ATOMIC_SPECIES
Li 6.94 Li.upf
Ni 58.69 Ni.upf
Ru 101.07 Ru.upf
CELL_PARAMETERS angstrom
0.0000 2.8523 2.8523
2.8523 0.0000 2.8523
2.8523 2.8523 0.0000
ATOMIC_POSITIONS angstrom
Li 0.0000 0.0000 0.0000
Ni 1.4262 1.4262 1.4262
Ni 4.2785 4.2785 4.2785
Ru 2.8523 2.8523 2.8523
```

Values from the calculation:
- Calculated volume: 11.60 Å³ per atom
- Formation enthalpy at 0 K: 0.16 eV/atom
- Energy above the lowest structure with this stoichiometry: 0.115 eV/atom



(5)
A PBEsol-optimized structure of Mg2Tc3, computed with meta-GGA SCAN. Values from VASP.

Structure (Quantum ESPRESSO input):
```
&SYSTEM
  ibrav = 0, nat = 5, ntyp = 2
/
ATOMIC_SPECIES
Mg 24.30 Mg.upf
Tc 98.00 Tc.upf
CELL_PARAMETERS angstrom
-1.3586 2.1006 6.5392
1.3586 -2.1006 6.5392
1.3586 2.1006 -6.5392
ATOMIC_POSITIONS angstrom
Mg 0.0000 0.0000 1.3011
Mg 0.0000 0.0000 11.7773
Tc 0.0000 0.0000 3.8844
Tc 0.0000 0.0000 6.5392
Tc 0.0000 0.0000 9.1940
```

Values from the calculation:
- Calculated volume: 14.93 Å³ per atom
- Formation enthalpy at 0 K: 0.21 eV/atom
- Energy above the lowest structure with this stoichiometry: 0.060 eV/atom



(6)
A PBEsol-optimized structure of MgZnRu2, computed with meta-GGA SCAN. Values from VASP.

Structure (Quantum ESPRESSO input):
```
&SYSTEM
  ibrav = 0, nat = 4, ntyp = 3
/
ATOMIC_SPECIES
Mg 24.30 Mg.upf
Zn 65.41 Zn.upf
Ru 101.07 Ru.upf
CELL_PARAMETERS angstrom
2.8730 0.0000 0.0000
0.0000 2.8730 0.0000
0.0000 0.0000 6.9933
ATOMIC_POSITIONS angstrom
Mg 0.0000 0.0000 0.0000
Zn 1.4365 1.4365 5.0366
Ru 0.0000 0.0000 3.3958
Ru 1.4365 1.4365 1.8209
```

Values from the calculation:
- Calculated volume: 14.43 Å³ per atom
- Formation enthalpy at 0 K: -0.07 eV/atom



(7)
A PBEsol-optimized structure of Sc3SnB, computed with meta-GGA SCAN. Values from VASP.

Structure (Quantum ESPRESSO input):
```
&SYSTEM
  ibrav = 0, nat = 5, ntyp = 3
/
ATOMIC_SPECIES
Sc 44.96 Sc.upf
Sn 118.71 Sn.upf
B 10.81 B.upf
CELL_PARAMETERS angstrom
4.6042 0.0000 0.0000
0.0000 4.6042 0.0000
0.0000 0.0000 4.6042
ATOMIC_POSITIONS angstrom
Sc 0.0000 0.0000 2.3021
Sc 0.0000 2.3021 0.0000
Sc 2.3021 0.0000 0.0000
Sn 2.3021 2.3021 2.3021
B 0.0000 0.0000 0.0000
```

Values from the calculation:
- Calculated volume: 19.52 Å³ per atom
- Formation enthalpy at 0 K: -0.69 eV/atom



(8)
A PBEsol-optimized structure of AsPtSe2N, computed with meta-GGA SCAN. Values from VASP.

Structure (Quantum ESPRESSO input):
```
&SYSTEM
  ibrav = 0, nat = 5, ntyp = 4
/
ATOMIC_SPECIES
As 74.92 As.upf
Pt 195.08 Pt.upf
Se 78.96 Se.upf
N 14.01 N.upf
CELL_PARAMETERS angstrom
5.1080 0.0000 0.0000
0.0000 5.1080 0.0000
0.0000 0.0000 3.6249
ATOMIC_POSITIONS angstrom
As 0.0000 0.0000 0.0000
Pt 2.5540 2.5540 1.8124
Se 0.0000 2.5540 1.8124
Se 2.5540 0.0000 1.8124
N 2.5540 2.5540 0.0000
```

Values from the calculation:
- Calculated volume: 18.92 Å³ per atom
- Formation energy from raw total energies: 0.643 eV/atom
- Energy above the lowest structure with this stoichiometry: 0.000 eV/atom



Please write out number 5 again, unchanged.
A PBEsol-optimized structure of Mg2Tc3, computed with meta-GGA SCAN. Values from VASP.

Structure (Quantum ESPRESSO input):
```
&SYSTEM
  ibrav = 0, nat = 5, ntyp = 2
/
ATOMIC_SPECIES
Mg 24.30 Mg.upf
Tc 98.00 Tc.upf
CELL_PARAMETERS angstrom
-1.3586 2.1006 6.5392
1.3586 -2.1006 6.5392
1.3586 2.1006 -6.5392
ATOMIC_POSITIONS angstrom
Mg 0.0000 0.0000 1.3011
Mg 0.0000 0.0000 11.7773
Tc 0.0000 0.0000 3.8844
Tc 0.0000 0.0000 6.5392
Tc 0.0000 0.0000 9.1940
```

Values from the calculation:
- Calculated volume: 14.93 Å³ per atom
- Formation enthalpy at 0 K: 0.21 eV/atom
- Energy above the lowest structure with this stoichiometry: 0.060 eV/atom



> What is the calculated volume in the eighth record?

18.92 Å³ per atom



> The lowest calculated volume belongs to which entry?

LiNi2Ru



> calculated volume of number 7 (Sc3SnB)?

19.52 Å³ per atom